Cs2VCuF6 PBE with a Hubbard U relaxed; calculated total energy = -49.62 eV/cell; M_tot = 1.9 μB per cell
1.0
6.199 0.569 -0.001
0.583 6.198 -0.001
-3.392 -3.384 4.825
F Cs V Cu
6 2 1 1
direct
0.298 0.298 0.595
0.237 0.764 0.000
0.704 0.704 0.000
0.763 0.237 0.000
0.296 0.297 0.000
0.702 0.702 0.404
0.250 0.750 0.500
0.750 0.250 0.500
0.500 0.500 0.000
0.000 0.001 0.000